Entry from Alexandria via LeMat-Bulk: a relaxed Zn2Bi2As crystal (GGA-PBE).

a b c (Å): 3.778 3.778 8.807
angles (deg): 77.61 77.61 90.00
Fractional positions:
Bi: 0.604 0.604 0.793
Zn: 0.750 0.250 0.500
Bi: 0.396 0.396 0.207
As: 0.000 0.000 0.000
Zn: 0.250 0.750 0.500

Properties
space-group type = I4/mmm, No. 139


Entry from Alexandria via LeMat-Bulk: a relaxed ZnBi2As2 crystal (GGA-PBE).

a b c (Å): 5.142 5.142 7.076
angles (deg): 68.69 68.69 90.00
Fractional positions:
Zn: 0.000 0.000 0.000
As: 0.750 0.250 0.500
Bi: 0.640 0.640 0.721
As: 0.250 0.750 0.500
Bi: 0.360 0.360 0.279

Properties
space-group type = I4/mmm, No. 139


Entry from Alexandria via LeMat-Bulk: a relaxed Zn3BiAs crystal (GGA-PBE).

a b c (Å): 4.913 4.913 4.913
angles (deg): 90.00 90.00 90.00
Fractional positions:
As: 0.000 0.000 0.000
Zn: 0.500 0.000 0.000
Bi: 0.500 0.500 0.500
Zn: 0.000 0.000 0.500
Zn: 0.000 0.500 0.000

Properties
space-group type = Pm-3m, No. 221


Entry from Alexandria via LeMat-Bulk: a relaxed Zn2BiAs2 crystal (GGA-PBE).

a b c (Å): 7.599 7.599 3.511
angles (deg): 90.00 90.00 90.00
Fractional positions:
Zn: 0.122 0.378 0.000
Zn: 0.378 0.878 0.000
Bi: 0.500 0.500 0.000
Bi: 0.000 0.000 0.000
As: 0.168 0.668 0.500
As: 0.832 0.332 0.500
As: 0.332 0.168 0.500
As: 0.668 0.832 0.500
Zn: 0.622 0.122 0.000
Zn: 0.878 0.622 0.000

Properties
space-group type = P4/mbm, No. 127


Entry from Alexandria via LeMat-Bulk: a relaxed ZnBiAs3 crystal (GGA-PBE).

a b c (Å): 5.498 5.498 5.498
angles (deg): 90.00 90.00 90.00
Fractional positions:
Zn: 0.500 0.500 0.500
As: 0.000 0.500 0.000
As: 0.500 0.000 0.000
Bi: 0.000 0.000 0.000
As: 0.000 0.000 0.500

Properties
space-group type = Pm-3m, No. 221


Entry from Alexandria via LeMat-Bulk: a relaxed Zn2BiAs2 crystal (GGA-PBE).

a b c (Å): 4.341 4.341 6.375
angles (deg): 70.09 70.09 90.00
Fractional positions:
Bi: 0.000 0.000 0.000
As: 0.750 0.250 0.500
Zn: 0.611 0.611 0.778
As: 0.250 0.750 0.500
Zn: 0.389 0.389 0.222

Properties
space-group type = I4/mmm, No. 139


no.,DFT formation energy (eV/atom),total DFT energy (no corrections) (eV per atom)
1,0.21,-2.78
2,0.31,-3.36
3,0.33,-2.14
4,0.21,-2.94
5,1.18,-2.64
6,0.20,-2.95